(1)
Computed, not measured: BaAc2Tc2N6 after structural relaxation at the GGA-PBE level of DFT.

abc: 6.211 6.345 6.968
angles: 69.27 67.25 63.68
Space group P-1 (No. 2)
Unique sites:
Ba (0.000, 0.000, 0.000)
Ac (0.257, 0.323, 0.270)
Tc (0.420, 0.380, 0.686)
N (0.158, 0.333, 0.657)
N (0.311, 0.578, 0.869)
N (0.326, 0.891, 0.259)

Summary:
Calculated density ... 6.54 g/cm3
Formation energy (no corrections) ... -0.6213 eV/atom
E ... -7.97 eV/atom
Total magnetization ... 0.00 μB per cell

=====

(2)
Computed, not measured: Sr2VGa after structural relaxation at the GGA-PBE level of DFT.

abc: 4.880 4.880 21.953
angles: 90.00 90.00 90.00
Space group I-42d (No. 122)
Unique sites:
Sr (0.245, 0.250, 0.125)
V (0.000, 0.000, 0.500)
Ga (0.000, 0.000, 0.000)

Summary:
Calculated density ... 3.76 g/cm3
DFT formation energy ... 0.7980 eV/atom
E ... -3.08 eV/atom
Total magnetization ... 15.58 μB per cell